Computed, not measured: an optimized crystal structure of LaPm2TmP4 at the GGA-PBE level of DFT. Values from VASP.

Quantum ESPRESSO input file:
```
&SYSTEM
  ibrav = 0, nat = 8, ntyp = 4
/
ATOMIC_SPECIES
Tm 168.93 Tm.upf
P 30.97 P.upf
Pm 145.00 Pm.upf
La 138.91 La.upf
ATOMIC_POSITIONS crystal
Tm 0.000 0.500 0.500
P 0.000 0.750 0.742
Pm 0.500 0.000 0.500
La 0.500 0.500 0.000
P 0.500 0.745 0.259
P 0.500 0.255 0.741
Pm 0.000 0.000 0.000
P 0.000 0.250 0.258
CELL_PARAMETERS angstrom
4.128 0.000 0.000
0.000 7.142 -0.145
0.000 2.509 6.684
```

Summary:
Energy of formation = -1.55 eV/atom
SG = P2/m, No. 10
Total moment = 0.00 μB per formula unit
Total DFT energy (no corrections) = -52.96 eV per cell